# 1
DFT (PBE) results for a geometry-optimized CaHRh structure.

abc: 3.4127 3.4127 4.3102
angles: 90.00 90.00 120.00
Space group P-6m2 (No. 187)
Symmetry-distinct sites (fractional):
Ca1 0.0000 0.0000 0.0000 x1
H1 0.3333 0.6667 0.5000 x1
Rh1 0.6667 0.3333 0.5000 x1

Output
- Electronic total energy: -13.6 eV for the cell shown
- N(E_F): 1.1 states/eV/f.u.
- Magnetization: 0.00 μB/atom
- E above lowest polymorph: 191.9 meV/atom
- Density: 5.5 g cm⁻³

---

# 2
DFT (PBE) results for a geometry-optimized CaH3Rh structure.

abc: 5.0319 5.0319 14.2790
angles: 90.00 90.00 120.00
Space group R-3 (No. 148, hexagonal axes)
Symmetry-distinct sites (fractional):
Ca1 0.0000 0.0000 0.1065 x6
H1 0.0084 0.5003 0.0764 x18
Rh1 0.0000 0.0000 0.3196 x6

Output
- Electronic total energy: -128.9 eV for the cell shown
- N(E_F): 0.8 states/eV/f.u.
- Magnetization: 0.00 μB/atom
- Density: 4.6 g cm⁻³